1.
This record from the Alexandria database describes a geometry-optimized Mn2Co2Os structure. The functional is PBE.

Cell and atoms, written as CIF:
```
data_Mn2Co2Os
_chemical_formula_sum 'Mn4 Co4 Os2'
_space_group_name_H-M_alt 'P 4/m b m'
_space_group_IT_number 127
_space_group_name_Hall '-P 4 2ab'
_cell_length_a 6.6979
_cell_length_b 6.6979
_cell_length_c 2.5566
_cell_angle_alpha 90.00
_cell_angle_beta 90.00
_cell_angle_gamma 90.00
loop_
_atom_site_label
_atom_site_type_symbol
_atom_site_fract_x
_atom_site_fract_y
_atom_site_fract_z
Mn1 Mn 0.1159 0.3841 0.0000
Co1 Co 0.1787 0.6787 0.5000
Os1 Os 0.0000 0.0000 0.0000
```

Calculated values
* calculated formation energy: 0.26 eV per atom
* magnetic moment: 1.297 μB per cell
* polymorph energy (0 for the lowest one): 70.8 meV per atom
* DOS(E_F): 1.218 states/eV/atom
* volume: 115 Å³ per cell

2.
This record from the Alexandria database describes a geometry-optimized Mn15Co2Os2 structure. The functional is PBE.

Cell and atoms, written as CIF:
```
data_Mn15Co2Os2
_chemical_formula_sum 'Mn45 Co6 Os6'
_space_group_name_H-M_alt 'R -3 m'
_space_group_IT_number 166
_space_group_name_Hall '-R 3 2"'
_cell_length_a 7.9122
_cell_length_b 7.9122
_cell_length_c 11.9947
_cell_angle_alpha 90.00
_cell_angle_beta 90.00
_cell_angle_gamma 120.00
loop_
_atom_site_label
_atom_site_type_symbol
_atom_site_fract_x
_atom_site_fract_y
_atom_site_fract_z
Mn1 Mn 0.0000 0.3003 0.0000
Mn2 Mn 0.0000 0.5000 0.5000
Mn3 Mn 0.0076 0.5038 0.1473
Co1 Co 0.0000 0.0000 0.0991
Os1 Os 0.0000 0.0000 0.3189
```

Calculated values
* calculated formation energy: 0.24 eV per atom
* magnetic moment: 1.854 μB per cell
* DOS(E_F): 1.145 states/eV/atom
* volume: 650 Å³ per cell

3.
This record from the Alexandria database describes a geometry-optimized Mn2Co2Os structure. The functional is PBE.

Cell and atoms, written as CIF:
```
data_Mn2Co2Os
_chemical_formula_sum 'Mn4 Co4 Os2'
_space_group_name_H-M_alt 'P 4/m b m'
_space_group_IT_number 127
_space_group_name_Hall '-P 4 2ab'
_cell_length_a 6.6738
_cell_length_b 6.6738
_cell_length_c 2.5558
_cell_angle_alpha 90.00
_cell_angle_beta 90.00
_cell_angle_gamma 90.00
loop_
_atom_site_label
_atom_site_type_symbol
_atom_site_fract_x
_atom_site_fract_y
_atom_site_fract_z
Mn1 Mn 0.1747 0.3253 0.0000
Co1 Co 0.1221 0.6221 0.5000
Os1 Os 0.0000 0.0000 0.5000
```

Calculated values
* calculated formation energy: 0.19 eV per atom
* magnetic moment: 0.000 μB per cell
* polymorph energy (0 for the lowest one): 0.0 meV per atom
* DOS(E_F): 1.034 states/eV/atom
* volume: 114 Å³ per cell

4.
This record from the Alexandria database describes a geometry-optimized Mn6CoOs structure. The functional is PBE.

Cell and atoms, written as CIF:
```
data_Mn6CoOs
_chemical_formula_sum 'Mn12 Co2 Os2'
_space_group_name_H-M_alt 'C m m m'
_space_group_IT_number 65
_space_group_name_Hall '-C 2 2'
_cell_length_a 7.1656
_cell_length_b 7.2394
_cell_length_c 3.6410
_cell_angle_alpha 90.00
_cell_angle_beta 90.00
_cell_angle_gamma 90.00
loop_
_atom_site_label
_atom_site_type_symbol
_atom_site_fract_x
_atom_site_fract_y
_atom_site_fract_z
Mn1 Mn 0.0000 0.2406 0.0000
Mn2 Mn 0.2439 0.0000 0.0000
Mn3 Mn 0.2500 0.2500 0.5000
Co1 Co 0.0000 0.0000 0.5000
Os1 Os 0.0000 0.5000 0.5000
```

Calculated values
* calculated formation energy: -0.01 eV per atom
* magnetic moment: 4.611 μB per cell
* DOS(E_F): 0.934 states/eV/atom
* volume: 189 Å³ per cell

5.
This record from the Alexandria database describes a geometry-optimized Mn3CoOs structure. The functional is PBE.

Cell and atoms, written as CIF:
```
data_Mn3CoOs
_chemical_formula_sum 'Mn3 Co1 Os1'
_space_group_name_H-M_alt 'P m -3 m'
_space_group_IT_number 221
_space_group_name_Hall '-P 4 2 3'
_cell_length_a 4.5553
_cell_length_b 4.5553
_cell_length_c 4.5553
_cell_angle_alpha 90.00
_cell_angle_beta 90.00
_cell_angle_gamma 90.00
loop_
_atom_site_label
_atom_site_type_symbol
_atom_site_fract_x
_atom_site_fract_y
_atom_site_fract_z
Mn1 Mn 0.0000 0.0000 0.5000
Co1 Co 0.5000 0.5000 0.5000
Os1 Os 0.0000 0.0000 0.0000
```

Calculated values
* calculated formation energy: 1.57 eV per atom
* magnetic moment: 10.485 μB per cell
* polymorph energy (0 for the lowest one): 380.8 meV per atom
* DOS(E_F): 1.996 states/eV/atom
* volume: 95 Å³ per cell

6.
This record from the Alexandria database describes a geometry-optimized MnCoOs3 structure. The functional is PBE.

Cell and atoms, written as CIF:
```
data_MnCoOs3
_chemical_formula_sum 'Mn1 Co1 Os3'
_space_group_name_H-M_alt 'P m -3 m'
_space_group_IT_number 221
_space_group_name_Hall '-P 4 2 3'
_cell_length_a 4.3610
_cell_length_b 4.3610
_cell_length_c 4.3610
_cell_angle_alpha 90.00
_cell_angle_beta 90.00
_cell_angle_gamma 90.00
loop_
_atom_site_label
_atom_site_type_symbol
_atom_site_fract_x
_atom_site_fract_y
_atom_site_fract_z
Mn1 Mn 0.0000 0.0000 0.0000
Co1 Co 0.5000 0.5000 0.5000
Os1 Os 0.0000 0.0000 0.5000
```

Calculated values
* calculated formation energy: 1.96 eV per atom
* magnetic moment: 0.000 μB per cell
* polymorph energy (0 for the lowest one): 0.0 meV per atom
* DOS(E_F): 2.113 states/eV/atom
* volume: 83 Å³ per cell

7.
This record from the Alexandria database describes a geometry-optimized Mn7Co4Os structure. The functional is PBE.

Cell and atoms, written as CIF:
```
data_Mn7Co4Os
_chemical_formula_sum 'Mn7 Co4 Os1'
_space_group_name_H-M_alt 'P -1'
_space_group_IT_number 2
_cell_length_a 4.7711
_cell_length_b 4.9652
_cell_length_c 6.4342
_cell_angle_alpha 104.93
_cell_angle_beta 97.56
_cell_angle_gamma 99.43
loop_
_space_group_symop_operation_xyz
'x,y,z'
'-x,-y,-z'
loop_
_atom_site_label
_atom_site_type_symbol
_atom_site_fract_x
_atom_site_fract_y
_atom_site_fract_z
Mn1 Mn 0.0000 0.0000 0.0000
Mn2 Mn 0.1657 0.2438 0.6581
Mn3 Mn 0.3277 0.4970 0.3371
Mn4 Mn 0.4990 0.2492 0.0005
Co1 Co 0.1706 0.7488 0.6689
Co2 Co 0.3352 0.9971 0.3319
Os1 Os 0.0000 0.5000 0.0000
```

Calculated values
* calculated formation energy: 0.13 eV per atom
* magnetic moment: 21.720 μB per cell
* DOS(E_F): 1.279 states/eV/atom
* volume: 143 Å³ per cell

8.
This record from the Alexandria database describes a geometry-optimized MnCo2POs structure. The functional is PBE.

Cell and atoms, written as CIF:
```
data_MnCo2POs
_chemical_formula_sum 'Mn1 Co2 P1 Os1'
_space_group_name_H-M_alt 'P 4/m m m'
_space_group_IT_number 123
_space_group_name_Hall '-P 4 2'
_cell_length_a 4.6515
_cell_length_b 4.6515
_cell_length_c 4.3468
_cell_angle_alpha 90.00
_cell_angle_beta 90.00
_cell_angle_gamma 90.00
loop_
_atom_site_label
_atom_site_type_symbol
_atom_site_fract_x
_atom_site_fract_y
_atom_site_fract_z
Mn1 Mn 0.0000 0.0000 0.0000
Co1 Co 0.0000 0.5000 0.5000
P1 P 0.5000 0.5000 0.0000
Os1 Os 0.5000 0.5000 0.5000
```

Calculated values
* calculated formation energy: 1.12 eV per atom
* magnetic moment: 8.377 μB per cell
* DOS(E_F): 1.185 states/eV/atom
* volume: 94 Å³ per cell

9.
This record from the Alexandria database describes a geometry-optimized MnCoOsPb2 structure. The functional is PBE.

Cell and atoms, written as CIF:
```
data_MnCoOsPb2
_chemical_formula_sum 'Mn1 Co1 Os1 Pb2'
_space_group_name_H-M_alt 'P 4/m m m'
_space_group_IT_number 123
_space_group_name_Hall '-P 4 2'
_cell_length_a 5.2305
_cell_length_b 5.2305
_cell_length_c 4.7481
_cell_angle_alpha 90.00
_cell_angle_beta 90.00
_cell_angle_gamma 90.00
loop_
_atom_site_label
_atom_site_type_symbol
_atom_site_fract_x
_atom_site_fract_y
_atom_site_fract_z
Mn1 Mn 0.0000 0.0000 0.0000
Co1 Co 0.5000 0.5000 0.0000
Os1 Os 0.5000 0.5000 0.5000
Pb1 Pb 0.0000 0.5000 0.5000
```

Calculated values
* calculated formation energy: 1.20 eV per atom
* magnetic moment: 6.947 μB per cell
* DOS(E_F): 1.082 states/eV/atom
* volume: 130 Å³ per cell

10.
This record from the Alexandria database describes a geometry-optimized MnCoOsRu structure. The functional is PBE.

Cell and atoms, written as CIF:
```
data_MnCoOsRu
_chemical_formula_sum 'Mn4 Co4 Os4 Ru4'
_space_group_name_H-M_alt 'F -4 3 m'
_space_group_IT_number 216
_space_group_name_Hall 'F -4 2 3'
_cell_length_a 5.9975
_cell_length_b 5.9975
_cell_length_c 5.9975
_cell_angle_alpha 90.00
_cell_angle_beta 90.00
_cell_angle_gamma 90.00
loop_
_atom_site_label
_atom_site_type_symbol
_atom_site_fract_x
_atom_site_fract_y
_atom_site_fract_z
Mn1 Mn 0.0000 0.0000 0.0000
Co1 Co 0.2500 0.2500 0.2500
Os1 Os 0.0000 0.0000 0.5000
Ru1 Ru 0.2500 0.2500 0.7500
```

Calculated values
* calculated formation energy: 0.30 eV per atom
* magnetic moment: 24.506 μB per cell
* DOS(E_F): 1.018 states/eV/atom
* volume: 216 Å³ per cell

11.
This record from the Alexandria database describes a geometry-optimized ScMnCoOs structure. The functional is PBE.

Cell and atoms, written as CIF:
```
data_ScMnCoOs
_chemical_formula_sum 'Sc4 Mn4 Co4 Os4'
_space_group_name_H-M_alt 'F -4 3 m'
_space_group_IT_number 216
_space_group_name_Hall 'F -4 2 3'
_cell_length_a 6.0365
_cell_length_b 6.0365
_cell_length_c 6.0365
_cell_angle_alpha 90.00
_cell_angle_beta 90.00
_cell_angle_gamma 90.00
loop_
_atom_site_label
_atom_site_type_symbol
_atom_site_fract_x
_atom_site_fract_y
_atom_site_fract_z
Sc1 Sc 0.0000 0.0000 0.0000
Mn1 Mn 0.2500 0.2500 0.2500
Co1 Co 0.2500 0.2500 0.7500
Os1 Os 0.0000 0.0000 0.5000
```

Calculated values
* calculated formation energy: 0.01 eV per atom
* magnetic moment: 9.921 μB per cell
* DOS(E_F): 1.030 states/eV/atom
* volume: 220 Å³ per cell

12.
This record from the Alexandria database describes a geometry-optimized TiMn2CoOs structure. The functional is PBE.

Cell and atoms, written as CIF:
```
data_TiMn2CoOs
_chemical_formula_sum 'Ti1 Mn2 Co1 Os1'
_space_group_name_H-M_alt 'P 4/m m m'
_space_group_IT_number 123
_space_group_name_Hall '-P 4 2'
_cell_length_a 4.0940
_cell_length_b 4.0940
_cell_length_c 4.4972
_cell_angle_alpha 90.00
_cell_angle_beta 90.00
_cell_angle_gamma 90.00
loop_
_atom_site_label
_atom_site_type_symbol
_atom_site_fract_x
_atom_site_fract_y
_atom_site_fract_z
Ti1 Ti 0.0000 0.0000 0.0000
Mn1 Mn 0.0000 0.5000 0.5000
Co1 Co 0.5000 0.5000 0.5000
Os1 Os 0.5000 0.5000 0.0000
```

Calculated values
* calculated formation energy: 1.12 eV per atom
* magnetic moment: 0.003 μB per cell
* DOS(E_F): 2.381 states/eV/atom
* volume: 75 Å³ per cell

Question: Which of these has the highest magnetic moment?
Answer: MnCoOsRu

Question: DOS(E_F) of number 1 (Mn2Co2Os)?
Answer: 1.218 states/eV/atom

Question: Number 10 is which compound?
Answer: MnCoOsRu